The following is a GGA-PBE calculation of a relaxed structure of BeRe2Ir, from OQMD via LeMat-Bulk.

M_tot: 0.0 μB per formula unit
VASP energy: -9.29 eV per atom

abc: 4.2570 4.2570 4.2570
angles: 60.00 60.00 60.00
Atoms (fractional coordinates):
Be: 0.0000 0.0000 0.0000
Re: 0.5000 0.5000 0.5000
Re: 0.7500 0.7500 0.7500
Ir: 0.2500 0.2500 0.2500